--- one ---
Computed, not measured: a geometry-optimized BaTaPO2 structure at the PBE level of DFT.

Its volume is 24.61 A^3/atom. The calculation puts the mass density at 5.15 g/cm3. For the density of states at the Fermi level, the calculation gives 6.98 states/eV per cell.

Lattice parameters (Å, degrees): 4.1976 4.1976 6.9826 90.00 90.00 90.00
Positions (direct):
O 0.0000 0.5000 0.0000
Ba 0.0000 0.0000 0.0000
P 0.0000 0.0000 0.5000
Ta 0.5000 0.5000 0.5000
O 0.5000 0.0000 0.0000


--- two ---
Computed, not measured: a geometry-optimized BaTaPO2 structure at the PBE level of DFT.

Its volume is 17.56 A^3/atom. The calculation puts the mass density at 7.21 g/cm3. For the density of states at the Fermi level, the calculation gives 1.34 states/eV per cell.

Lattice parameters (Å, degrees): 4.1963 4.1963 4.9850 90.00 90.00 90.00
Positions (direct):
P 0.0000 0.0000 0.5000
O 0.0000 0.5000 0.0000
O 0.5000 0.0000 0.0000
Ba 0.5000 0.5000 0.5000
Ta 0.0000 0.0000 0.0000


two comes first in stability; the runner-up is 2533 meV/atom higher.


--- one ---
Computed, not measured: a geometry-optimized BaTiPO2 structure at the PBE level of DFT.

Its volume is 24.42 A^3/atom. The calculation puts the mass density at 3.37 g/cm3. For the density of states at the Fermi level, the calculation gives 6.33 states/eV per cell.

Lattice parameters (Å, degrees): 4.3109 4.3109 6.5715 90.00 90.00 90.00
Positions (direct):
P 0.0000 0.0000 0.5000
O 0.5000 0.0000 0.0000
O 0.0000 0.5000 0.0000
Ba 0.0000 0.0000 0.0000
Ti 0.5000 0.5000 0.5000


--- two ---
Computed, not measured: a geometry-optimized BaTiPO2 structure at the PBE level of DFT.

Its volume is 16.77 A^3/atom. The calculation puts the mass density at 4.92 g/cm3. For the density of states at the Fermi level, the calculation gives 2.15 states/eV per cell.

Lattice parameters (Å, degrees): 4.1278 4.1278 4.9200 90.00 90.00 90.00
Positions (direct):
P 0.0000 0.0000 0.5000
O 0.0000 0.5000 0.0000
Ba 0.5000 0.5000 0.5000
Ti 0.0000 0.0000 0.0000
O 0.5000 0.0000 0.0000


two comes first in stability; the runner-up is 1941 meV/atom higher.


--- one ---
Computed, not measured: a geometry-optimized BaTlP2O structure at the PBE level of DFT.

Its volume is 25.24 A^3/atom. The calculation puts the mass density at 5.52 g/cm3. For the density of states at the Fermi level, the calculation gives 4.26 states/eV per cell.

Lattice parameters (Å, degrees): 5.2551 5.2551 4.5689 90.00 90.00 90.00
Positions (direct):
P 0.5000 0.0000 0.0000
O 0.0000 0.0000 0.5000
Ba 0.5000 0.5000 0.5000
P 0.0000 0.5000 0.0000
Tl 0.0000 0.0000 0.0000


--- two ---
Computed, not measured: a geometry-optimized BaTlP2O structure at the PBE level of DFT.

Its volume is 37.66 A^3/atom. The calculation puts the mass density at 3.70 g/cm3. For the density of states at the Fermi level, the calculation gives 3.63 states/eV per cell.

Lattice parameters (Å, degrees): 6.3529 6.3529 4.6661 90.00 90.00 90.00
Positions (direct):
O 0.0000 0.0000 0.5000
P 0.5000 0.0000 0.0000
Ba 0.0000 0.0000 0.0000
Tl 0.5000 0.5000 0.5000
P 0.0000 0.5000 0.0000


one comes first in stability; the runner-up is 480 meV/atom higher.